[1]
A plane-wave DFT calculation with GGA-PBE was carried out for CrIrAu2 after structural relaxation.

Computed properties:
**Theoretical density**: 16.26 g cm⁻³
**Calculated formation energy**: 328 meV per atom
**Relative energy among the computed polymorphs**: 1.02 eV per formula unit
**Total moment**: 3.1 Bohr magnetons per cell
**Total energy**: -23.73 eV per cell

Structure (POSCAR):
```
CrIrAu2
1.0
4.517 0.000 0.000
2.259 3.912 0.000
2.259 1.304 3.688
Au Ir Cr
2 1 1
Direct
0.000 0.000 0.000
0.250 0.250 0.250
0.750 0.750 0.750
0.500 0.500 0.500
```

=====

[2]
A plane-wave DFT calculation with GGA-PBE was carried out for CrIrAu2 after structural relaxation.

Computed properties:
**Theoretical density**: 16.89 g cm⁻³
**Calculated formation energy**: 75 meV per atom
**Relative energy among the computed polymorphs**: 0.00 eV per formula unit
**Total moment**: 0.0 Bohr magnetons per cell
**Total energy**: -24.74 eV per cell

Structure (POSCAR):
```
CrIrAu2
1.0
2.791 0.000 0.000
0.000 2.791 0.000
0.000 0.000 8.059
Ir Au Cr
1 2 1
Direct
0.500 0.500 0.714
0.000 0.000 0.989
0.500 0.500 0.273
0.000 0.000 0.524
```

=====

[3]
A plane-wave DFT calculation with GGA-PBE was carried out for CrIrAu3 after structural relaxation.

Computed properties:
**Theoretical density**: 10.96 g cm⁻³
**Calculated formation energy**: 1169 meV per atom
**Relative energy among the computed polymorphs**: 0.00 eV per formula unit
**Total moment**: 4.8 Bohr magnetons per cell
**Total energy**: -22.47 eV per cell

Structure (POSCAR):
```
CrIrAu3
1.0
-4.579 -2.053 -0.147
1.420 -3.410 3.401
-1.490 3.060 3.691
Au Cr Ir
3 1 1
Direct
0.500 0.000 0.000
0.000 0.500 0.000
0.000 0.000 0.500
0.500 0.500 0.500
0.000 0.000 0.000
```

=====

[4]
A plane-wave DFT calculation with GGA-PBE was carried out for CrIrAu2 after structural relaxation.

Computed properties:
**Theoretical density**: 16.27 g cm⁻³
**Calculated formation energy**: 412 meV per atom
**Relative energy among the computed polymorphs**: 1.35 eV per formula unit
**Total moment**: 2.8 Bohr magnetons per cell
**Total energy**: -23.39 eV per cell

Structure (POSCAR):
```
CrIrAu2
1.0
-6.122 4.426 -5.252
-5.615 2.159 -6.961
-7.568 1.964 -4.849
Cr Au Ir
1 2 1
Direct
0.250 0.250 0.250
0.503 0.503 0.503
0.997 0.997 0.997
0.750 0.750 0.750
```

=====

[5]
A plane-wave DFT calculation with GGA-PBE was carried out for CrIrAu2 after structural relaxation.

Computed properties:
**Theoretical density**: 16.13 g cm⁻³
**Calculated formation energy**: 318 meV per atom
**Relative energy among the computed polymorphs**: 0.97 eV per formula unit
**Total moment**: 3.8 Bohr magnetons per cell
**Total energy**: -23.77 eV per cell

Structure (POSCAR):
```
CrIrAu2
1.0
3.018 0.000 0.000
0.000 4.621 0.000
0.000 0.000 4.711
Cr Au Ir
1 2 1
Direct
0.500 0.000 0.500
0.000 0.000 0.000
0.500 0.500 0.000
0.000 0.500 0.500
```

=====

[6]
A plane-wave DFT calculation with GGA-PBE was carried out for CrIrAu2 after structural relaxation.

Computed properties:
**Theoretical density**: 16.92 g cm⁻³
**Calculated formation energy**: 544 meV per atom
**Relative energy among the computed polymorphs**: 1.88 eV per formula unit
**Total moment**: 0.0 Bohr magnetons per cell
**Total energy**: -22.86 eV per cell

Structure (POSCAR):
```
CrIrAu2
1.0
0.000 3.152 3.152
3.152 0.000 3.152
3.152 3.152 0.000
Cr Ir Au
1 1 2
Direct
0.000 0.000 0.000
0.500 0.500 0.500
0.750 0.750 0.750
0.250 0.250 0.250
```

=====

[7]
A plane-wave DFT calculation with GGA-PBE was carried out for Cr2Ir2Au after structural relaxation.

Computed properties:
**Theoretical density**: 15.61 g cm⁻³
**Calculated formation energy**: 78 meV per atom
**Relative energy among the computed polymorphs**: 0.27 eV per formula unit
**Total moment**: 0.0 Bohr magnetons per cell
**Total energy**: -79.71 eV per cell

Structure (POSCAR):
```
Cr2Ir2Au
1.0
-1.750 1.227 7.032
2.562 -6.650 1.798
2.447 1.058 0.424
Cr Ir Au
4 4 2
Direct
0.882 0.618 0.000
0.618 0.118 0.000
0.118 0.382 0.000
0.382 0.882 0.000
0.667 0.833 0.500
0.167 0.667 0.500
0.833 0.333 0.500
0.333 0.167 0.500
0.500 0.500 0.000
0.000 0.000 0.000
```

=====

[8]
A plane-wave DFT calculation with GGA-PBE was carried out for CrIrAu2 after structural relaxation.

Computed properties:
**Theoretical density**: 16.59 g cm⁻³
**Calculated formation energy**: 200 meV per atom
**Relative energy among the computed polymorphs**: 0.50 eV per formula unit
**Total moment**: 2.7 Bohr magnetons per cell
**Total energy**: -24.24 eV per cell

Structure (POSCAR):
```
CrIrAu2
1.0
-2.124 -4.146 1.417
3.327 -3.554 -0.078
0.076 4.426 2.029
Ir Au Cr
1 2 1
Direct
0.750 0.250 0.500
0.000 0.000 0.000
0.250 0.750 0.500
0.500 0.500 0.000
```